# 1
Below is a relaxed NdY2Co crystal, with properties calculated at the PBE level.

a b c (Å): 3.7515 3.7515 9.5946
angles (deg): 78.73 78.73 60.00
Last column: nearest neighbours and their distance in Å.
Positions (direct):
1 Y 0.7224 0.7224 0.8329  3 Co 2.67
2 Y 0.2776 0.2776 0.1671  3 Co 2.67
3 Co 0.0000 0.0000 0.0000  6 Y 2.67
4 Nd 0.5000 0.5000 0.5000  6 Nd 3.75, 6 Y 3.79

symmetry	R-3m (166)
energy above the lowest structure with this stoichiometry	0.136	eV/atom

# 2
Below is a relaxed NdY2Co2 crystal, with properties calculated at the PBE level.

a b c (Å): 3.7712 5.5644 6.0704
angles (deg): 103.03 108.10 90.00
Last column: nearest neighbours and their distance in Å.
Positions (direct):
1 Nd 0.0000 0.0000 0.0000  6 Co 3.12-3.39
2 Y 0.3514 0.4199 0.7028  4 Co 2.77-2.99
3 Y 0.6486 0.5801 0.2972  4 Co 2.77-2.99
4 Co 0.7217 0.1001 0.4435  2 Co 2.36
5 Co 0.2783 0.8999 0.5565  2 Co 2.36

symmetry	C2/m (12)
energy above the lowest structure with this stoichiometry	0.082	eV/atom

# 3
Below is a relaxed NdYZnCo crystal, with properties calculated at the PBE level.

a b c (Å): 4.9713 4.9713 4.9713
angles (deg): 60.00 60.00 60.00
Last column: nearest neighbours and their distance in Å.
Positions (direct):
1 Y 0.0000 0.0000 0.0000  4 Co 3.04, 4 Zn 3.04
2 Co 0.7500 0.7500 0.7500  4 Nd 3.04, 4 Y 3.04
3 Zn 0.2500 0.2500 0.2500  4 Nd 3.04, 4 Y 3.04
4 Nd 0.5000 0.5000 0.5000  4 Co 3.04, 4 Zn 3.04

symmetry	F-43m (216)

# 4
Below is a relaxed NdZn9Co2 crystal, with properties calculated at the PBE level.

a b c (Å): 3.6160 7.9775 7.9775
angles (deg): 120.00 90.00 90.00
Last column: nearest neighbours and their distance in Å.
Positions (direct):
1 Nd 0.0000 0.0000 0.0000  12 Zn 3.33, 2 Nd 3.62
2 Zn 0.5000 0.7973 0.2027  2 Co 2.55, 6 Zn 2.77-2.80
3 Zn 0.0000 0.0000 0.5000  2 Co 2.30
4 Zn 0.0000 0.5000 0.5000  2 Co 2.30
5 Zn 0.5000 0.7973 0.5946  2 Co 2.55, 6 Zn 2.77-2.80
6 Zn 0.5000 0.2027 0.7973  2 Co 2.55, 6 Zn 2.77-2.80
7 Zn 0.5000 0.5946 0.7973  2 Co 2.55, 6 Zn 2.77-2.80
8 Zn 0.5000 0.2027 0.4054  2 Co 2.55, 6 Zn 2.77-2.80
9 Zn 0.0000 0.5000 0.0000  2 Co 2.30
10 Zn 0.5000 0.4054 0.2027  2 Co 2.55, 6 Zn 2.77-2.80
11 Co 0.0000 0.6667 0.3333  9 Zn 2.30-2.55
12 Co 0.0000 0.3333 0.6667  9 Zn 2.30-2.55

symmetry	P6/mmm (191)
energy above the lowest structure with this stoichiometry	0.112	eV/atom

# 5
Below is a relaxed Nd2Zn12Co5 crystal, with properties calculated at the PBE level.

a b c (Å): 6.6551 6.6551 6.6551
angles (deg): 83.48 83.48 83.48
Last column: nearest neighbours and their distance in Å.
Positions (direct):
1 Nd 0.6655 0.6655 0.6655  4 Co 3.05-3.34, 12 Zn 3.14-3.27
2 Nd 0.3345 0.3345 0.3345  4 Co 3.05-3.34, 12 Zn 3.14-3.27
3 Zn 0.2854 0.7146 0.0000  2 Co 2.50, 6 Zn 2.53-2.71
4 Zn 0.7146 0.0000 0.2854  2 Co 2.50, 6 Zn 2.53-2.71
5 Zn 0.0000 0.2854 0.7146  2 Co 2.50, 6 Zn 2.53-2.71
6 Zn 0.7146 0.2854 0.0000  2 Co 2.50, 6 Zn 2.53-2.71
7 Zn 0.2854 0.0000 0.7146  2 Co 2.50, 6 Zn 2.53-2.71
8 Zn 0.0000 0.7146 0.2854  2 Co 2.50, 6 Zn 2.53-2.71
9 Zn 0.3430 0.3430 0.8609  3 Co 2.52-2.70, 6 Zn 2.66-2.71
10 Zn 0.3430 0.8609 0.3430  3 Co 2.52-2.70, 6 Zn 2.66-2.71
11 Zn 0.8609 0.3430 0.3430  3 Co 2.52-2.70, 6 Zn 2.66-2.71
12 Zn 0.6570 0.1391 0.6570  3 Co 2.52-2.70, 6 Zn 2.66-2.71
13 Zn 0.6570 0.6570 0.1391  3 Co 2.52-2.70, 6 Zn 2.66-2.71
14 Zn 0.1391 0.6570 0.6570  3 Co 2.52-2.70, 6 Zn 2.66-2.71
15 Co 0.0000 0.0000 0.5000  8 Zn 2.50-2.52, 2 Co 2.71
16 Co 0.0000 0.5000 0.0000  8 Zn 2.50-2.52, 2 Co 2.71
17 Co 0.5000 0.0000 0.0000  8 Zn 2.50-2.52, 2 Co 2.71
18 Co 0.9042 0.9042 0.9042  4 Co 2.45-2.71, 3 Zn 2.70
19 Co 0.0958 0.0958 0.0958  4 Co 2.45-2.71, 3 Zn 2.70

symmetry	R-3m (166)

# 6
Below is a relaxed NdZn11Co crystal, with properties calculated at the PBE level.

a b c (Å): 5.0214 6.8349 6.8258
angles (deg): 82.42 68.42 68.97
Last column: nearest neighbours and their distance in Å.
Positions (direct):
1 Nd 0.0000 0.0000 0.0000  18 Zn 3.18-3.42, 2 Co 3.44
2 Zn 0.2872 0.2259 0.2163  1 Co 2.53, 6 Zn 2.58-2.75
3 Zn 0.7128 0.7741 0.7837  1 Co 2.53, 6 Zn 2.58-2.75
4 Zn 0.4966 0.7741 0.2163  1 Co 2.53, 6 Zn 2.58-2.75
5 Zn 0.5034 0.2259 0.7837  1 Co 2.53, 6 Zn 2.58-2.75
6 Zn 0.3694 0.6382 0.6567  1 Co 2.63, 9 Zn 2.66-2.94
7 Zn 0.6306 0.3618 0.3433  1 Co 2.63, 9 Zn 2.66-2.94
8 Zn 0.9739 0.3618 0.6567  1 Co 2.63, 9 Zn 2.66-2.94
9 Zn 0.0261 0.6382 0.3433  1 Co 2.63, 9 Zn 2.66-2.94
10 Zn 0.0000 0.5000 0.0000  2 Co 2.51, 8 Zn 2.58-2.70
11 Zn 0.5000 0.0000 0.5000  8 Zn 2.51-2.76
12 Zn 0.0000 0.0000 0.5000  8 Zn 2.51-2.76
13 Co 0.5000 0.5000 0.0000  10 Zn 2.51-2.63

symmetry	C2/m (12)

Number 1: D(E_F) 4.3 states/eV/f.u., DFT total energy -24.7 eV per cell, energy of formation from the pure elements 0.06 eV per formula unit. Number 2: D(E_F) 5.5 states/eV/f.u., DFT total energy -32.1 eV per cell, energy of formation from the pure elements -0.15 eV per formula unit. Number 3: D(E_F) 2.7 states/eV/f.u., DFT total energy -20.2 eV per cell, energy of formation from the pure elements -0.63 eV per formula unit. Number 4: D(E_F) 7.7 states/eV/f.u., DFT total energy -31.3 eV per cell, energy of formation from the pure elements -0.83 eV per formula unit. Number 5: D(E_F) 15.7 states/eV/f.u., DFT total energy -63.7 eV per cell, energy of formation from the pure elements -3.38 eV per formula unit. Number 6: D(E_F) 5.6 states/eV/f.u., DFT total energy -28.2 eV per cell, energy of formation from the pure elements -2.35 eV per formula unit.